## A
MnCdSeBr2 PBE optimized geometry; total moment = 0.4 μB/f.u.; ρ = 5.5 g/cm3; symmetry = P4/mmm
1.0
5.1684 0.0000 0.0000
0.0000 5.1684 0.0000
0.0000 0.0000 4.5601
Mn Cd Se Br
1 1 1 2
Direct
0.0000 0.0000 0.0000
0.5000 0.5000 0.5000
0.0000 0.0000 0.5000
0.0000 0.5000 0.0000
0.5000 0.0000 0.0000


## B
MnCdSeBr2 PBE optimized geometry; total moment = 5.1 μB/f.u.; ρ = 4.4 g/cm3; symmetry = P4/mmm
1.0
5.3107 0.0000 0.0000
0.0000 5.3107 0.0000
0.0000 0.0000 5.4792
Mn Cd Se Br
1 1 1 2
Direct
0.0000 0.0000 0.0000
0.5000 0.5000 0.5000
0.5000 0.5000 0.0000
0.0000 0.5000 0.5000
0.5000 0.0000 0.5000


Which is most stable, and by how much? A, by 116 meV/atom.


## A
CdMo2Br PBE optimized geometry; total moment = 0.0 μB/f.u.; ρ = 8.6 g/cm3; symmetry = Cmmm
1.0
5.5449 0.0000 0.0000
0.0000 9.1646 0.0000
0.0000 0.0000 2.9078
Cd Mo Br
2 4 2
Direct
0.0000 0.0000 0.0000
0.5000 0.5000 0.0000
0.2500 0.2500 0.5000
0.2500 0.7500 0.5000
0.7500 0.2500 0.5000
0.7500 0.7500 0.5000
0.0000 0.5000 0.0000
0.5000 0.0000 0.0000


## B
CdMo2Br PBE optimized geometry; total moment = 0.0 μB/f.u.; ρ = 8.8 g/cm3; symmetry = C2/m
1.0
9.7338 0.0000 0.0000
0.0000 3.0126 0.0000
-1.0586 0.0000 4.9397
Cd Mo Br
2 4 2
Direct
0.0000 0.0000 0.0000
0.5000 0.5000 0.0000
0.2457 0.0000 0.7459
0.2543 0.5000 0.2541
0.7457 0.5000 0.7459
0.7543 0.0000 0.2541
0.0000 0.5000 0.5000
0.5000 0.0000 0.5000


## C
CdMo2Br PBE optimized geometry; total moment = 0.0 μB/f.u.; ρ = 7.9 g/cm3; symmetry = Cmm2
1.0
3.2735 0.0000 0.0000
0.0000 5.1788 0.0000
0.0000 0.0000 9.5744
Cd Mo Br
2 4 2
Direct
0.0000 0.0000 0.0000
0.5000 0.5000 0.0000
0.0000 0.0000 0.5491
0.0000 0.5000 0.7428
0.5000 0.0000 0.7428
0.5000 0.5000 0.5491
0.0000 0.5000 0.3160
0.5000 0.0000 0.3160


## D
CdMo2Br PBE optimized geometry; total moment = 0.0 μB/f.u.; ρ = 7.6 g/cm3; symmetry = P4mm
1.0
3.2167 0.0000 0.0000
0.0000 3.2167 0.0000
0.0000 0.0000 8.1130
Cd Mo Br
1 2 1
Direct
0.0000 0.0000 0.0000
0.0000 0.0000 0.3992
0.5000 0.5000 0.2380
0.5000 0.5000 0.6348


Which is most stable, and by how much? D, by 51 meV/atom.


## A
CdMo2Br PBE optimized geometry; total moment = 0.0 μB/f.u.; ρ = 7.9 g/cm3; symmetry = I-42d
1.0
4.0278 0.0000 0.0000
0.0000 4.0278 0.0000
0.0000 0.0000 19.8652
Cd Mo Br
4 8 4
Direct
0.0000 0.0000 0.0000
0.0000 0.5000 0.2500
0.5000 0.0000 0.7500
0.5000 0.5000 0.5000
0.1934 0.2500 0.6250
0.2500 0.6934 0.8750
0.2500 0.8066 0.3750
0.3066 0.2500 0.1250
0.6934 0.7500 0.1250
0.7500 0.1934 0.3750
0.7500 0.3066 0.8750
0.8066 0.7500 0.6250
0.0000 0.0000 0.5000
0.0000 0.5000 0.7500
0.5000 0.0000 0.2500
0.5000 0.5000 0.0000


## B
CdMo2Br PBE optimized geometry; total moment = 0.0 μB/f.u.; ρ = 7.1 g/cm3; symmetry = P2/m
1.0
3.3961 0.0000 0.0000
0.0000 5.0466 0.0000
-0.6486 0.0000 5.2406
Cd Mo Br
1 2 1
Direct
0.0000 0.0000 0.0000
0.3098 0.5000 0.1618
0.6902 0.5000 0.8382
0.5000 0.0000 0.5000


## C
CdMo2Br PBE optimized geometry; total moment = 0.0 μB/f.u.; ρ = 6.5 g/cm3; symmetry = Cm
1.0
12.5135 0.0000 0.0000
0.0000 3.1994 0.0000
-1.1555 0.0000 4.8701
Cd Mo Br
2 4 2
Direct
0.0000 0.0000 0.0000
0.5000 0.5000 0.0000
0.0212 0.5000 0.5111
0.3763 0.5000 0.4264
0.5212 0.0000 0.5111
0.8763 0.0000 0.4264
0.2324 0.0000 0.6507
0.7324 0.5000 0.6507


## D
CdMo2Br PBE optimized geometry; total moment = 0.0 μB/f.u.; ρ = 8.8 g/cm3; symmetry = Cmmm
1.0
3.2004 0.0000 0.0000
0.0000 4.8692 0.0000
0.0000 0.0000 9.3521
Cd Mo Br
2 4 2
Direct
0.0000 0.0000 0.0000
0.5000 0.5000 0.0000
0.0000 0.5000 0.2606
0.0000 0.5000 0.7394
0.5000 0.0000 0.2606
0.5000 0.0000 0.7394
0.0000 0.0000 0.5000
0.5000 0.5000 0.5000


Which is most stable, and by how much? C, by 104 meV/atom.


## A
CdMoBr2 PBE optimized geometry; total moment = 3.2 μB/f.u.; ρ = 6.6 g/cm3; symmetry = P2/m
1.0
4.8992 0.0000 0.0000
0.0000 3.4586 0.0000
-2.4327 0.0000 5.4454
Cd Mo Br
1 1 2
Direct
0.0000 0.0000 0.0000
0.5000 0.5000 0.5000
0.0000 0.0000 0.5000
0.5000 0.5000 0.0000


## B
CdMoBr2 PBE optimized geometry; total moment = 4.2 μB/f.u.; ρ = 5.3 g/cm3; symmetry = C2/m
1.0
7.0078 0.0000 0.0000
0.0000 8.1684 0.0000
-3.1650 0.0000 4.0587
Cd Mo Br
2 2 4
Direct
0.0000 0.0000 0.0000
0.5000 0.5000 0.0000
0.0000 0.5000 0.0000
0.5000 0.0000 0.0000
0.2500 0.2500 0.5000
0.2500 0.7500 0.5000
0.7500 0.2500 0.5000
0.7500 0.7500 0.5000


Which is most stable, and by how much? B, by 18 meV/atom.